1.
The following is a PBE calculation of a relaxed structure of CsBiIO2, from Alexandria via LeMat-Bulk.

## Properties
For the energy relative to the lowest polymorph listed for this composition, the calculation gives 1.132 eV/atom. As for the size of the total moment: 2.00 μB/f.u. As for the space-group type: P4/mmm (123). For the energy relative to the elements, uncorrected, the calculation gives 0.483 eV/atom.

Cell lengths 4.6255, 4.6255, 7.4016 Å; angles 90.00, 90.00, 90.00 degrees
Fractional positions:
Cs  0.0000  0.0000  0.0000
I  0.0000  0.0000  0.5000
Bi  0.5000  0.5000  0.5000
O  0.0000  0.5000  0.0000
O  0.5000  0.0000  0.0000

2.
The following is a PBE calculation of a relaxed structure of Cs2BiI6O, from Alexandria via LeMat-Bulk.

## Properties
As for the size of the total moment: 1.00 μB/f.u. As for the space-group type: I4/mmm (139). For the energy relative to the elements, uncorrected, the calculation gives -0.647 eV/atom.

Cell lengths 9.4806, 9.4806, 8.4849 Å; angles 56.04, 56.04, 90.00 degrees
Fractional positions:
Cs  0.7500  0.2500  0.5000
Cs  0.2500  0.7500  0.5000
I  0.2965  0.2965  0.4069
I  0.7035  0.7035  0.5931
I  0.2297  0.2297  0.0000
I  0.7703  0.7703  0.0000
I  0.7703  0.2297  0.0000
I  0.2297  0.7703  0.0000
Bi  0.0000  0.0000  0.0000
O  0.5000  0.5000  0.0000

3.
The following is a PBE calculation of a relaxed structure of CsBiIO6, from Alexandria via LeMat-Bulk.

## Properties
As for the size of the total moment: 0.00 μB/f.u. As for the space-group type: P312 (149). For the energy relative to the elements, uncorrected, the calculation gives -0.800 eV/atom.

Cell lengths 5.6941, 5.6941, 6.6941 Å; angles 90.01, 89.99, 59.99 degrees
Fractional positions:
Cs  0.0000  0.0000  0.0000
Bi  0.6666  0.6667  0.5000
I  0.3333  0.3333  0.5000
O  0.0449  0.3662  0.3302
O  0.3662  0.0449  0.6698
O  0.5887  0.3664  0.6698
O  0.0447  0.5890  0.6698
O  0.3664  0.5888  0.3302
O  0.5890  0.0447  0.3302

4.
The following is a PBE calculation of a relaxed structure of CsBiPb2I8, from Alexandria via LeMat-Bulk.

## Properties
As for the size of the total moment: 0.00 μB/f.u. As for the space-group type: P-1 (2). For the energy relative to the elements, uncorrected, the calculation gives -0.673 eV/atom.

Cell lengths 7.8328, 7.5693, 10.0477 Å; angles 89.72, 89.79, 88.47 degrees
Fractional positions:
Cs  0.0000  0.0000  0.5000
Bi  0.0000  0.0000  0.0000
Pb  0.5000  0.4993  0.7494
Pb  0.5000  0.5007  0.2506
I  0.1527  0.7401  0.2111
I  0.6674  0.7676  0.0000
I  0.8455  0.2584  0.2102
I  0.8473  0.2599  0.7889
I  0.3326  0.2324  0.0000
I  0.1545  0.7416  0.7897
I  0.6088  0.7323  0.4984
I  0.3912  0.2677  0.5016